Below is a geometry-optimized La8Sm3Th structure, with properties calculated at the GGA-PBE level.

Calculated formation energy ... 0.31 eV per atom
DFT total energy ... -4.774 eV/atom
Crystal system ... orthorhombic
Calculated density ... 6.59 g/cm3
Space group ... Immm

Lattice parameters (Å, degrees): 8.8563 8.8563 8.8563 96.66 100.06 135.18
Closest atoms and distances in Å follow each position.
Element x y z (fractional)
La  0.8404  0.2487  0.0891  1 Th 3.45, 3 Sm 3.47-3.84, 5 La 3.52-3.63
La  0.1596  0.7513  0.9109  1 Th 3.45, 3 Sm 3.47-3.84, 5 La 3.52-3.63
Th  0.0000  0.0000  0.0000  8 La 3.41-3.45
La  0.0419  0.7738  0.2674  1 La 3.05, 1 Sm 3.23, 1 Th 3.41
La  0.8404  0.7513  0.5917  1 Th 3.45, 3 Sm 3.47-3.84, 5 La 3.52-3.63
La  0.5064  0.7745  0.7326  1 La 3.05, 1 Sm 3.23, 1 Th 3.41
Sm  0.5000  0.7236  0.2236  6 La 3.84-3.89, 2 Th 4.28
La  0.4936  0.2262  0.2681  1 La 3.05, 1 Sm 3.23, 1 Th 3.41
La  0.1596  0.2487  0.4083  1 Th 3.45, 3 Sm 3.47-3.84, 5 La 3.52-3.63
La  0.9581  0.2255  0.7319  1 La 3.05, 1 Sm 3.23, 1 Th 3.41
Sm  0.5000  0.2764  0.7764  6 La 3.84-3.89, 2 Th 4.28
Sm  0.0000  0.5000  0.5000  8 La 3.23-3.47